{"formula": "BaHg10Pb2", "functional": "PBE", "state": "optimized geometry", "lattice_angstrom": [[0.0000, 7.2421, 7.5623], [3.4471, 0.0000, 7.5623], [3.4471, 7.2421, 0.0000]], "species": ["Ba", "Hg", "Hg", "Hg", "Hg", "Hg", "Hg", "Hg", "Hg", "Hg", "Hg", "Pb", "Pb"], "frac_coords": [[0.0000, 0.0000, 0.0000], [0.0000, 0.0000, 0.5000], [0.0063, 0.6456, 0.3544], [0.2886, 0.5056, 0.4944], [0.3544, 0.9937, 0.0063], [0.4944, 0.7114, 0.2886], [0.5000, 0.5000, 0.0000], [0.5056, 0.2886, 0.7114], [0.6456, 0.0063, 0.9937], [0.7114, 0.4944, 0.5056], [0.9937, 0.3544, 0.6456], [0.0000, 0.5000, 0.0000], [0.5000, 0.0000, 0.5000]], "space_group": "Fmmm", "dos_ef_per_ev_atom": 0.473, "crystal_system": "orthorhombic", "formation_enthalpy_0k_mev_per_atom": -93, "total_magnetization_mub_per_cell": 0.00, "total_energy_ev_per_atom": -1.0432}